Entry from Alexandria via LeMat-Bulk: an optimized crystal structure of LaHoPtRh (PBE).

Structure (extended XYZ):
```
16
Lattice="7.085 0.000 0.000 0.000 7.085 0.000 0.000 0.000 7.085" Properties=species:S:1:pos:R:3 pbc="T T T"
La 0.000 0.000 0.000
La 0.000 3.543 3.543
La 3.543 0.000 3.543
La 3.543 3.543 0.000
Ho 0.000 0.000 3.543
Ho 0.000 3.543 0.000
Ho 3.543 0.000 0.000
Ho 3.543 3.543 3.543
Pt 1.771 1.771 5.314
Pt 1.771 5.314 1.771
Pt 5.314 1.771 1.771
Pt 5.314 5.314 5.314
Rh 1.771 1.771 1.771
Rh 1.771 5.314 5.314
Rh 5.314 1.771 5.314
Rh 5.314 5.314 1.771
```

Results
Calculated total energy (eV/atom): -6.660
Density of states at the Fermi level (states/eV per atom): 0.6250
Crystal system: cubic

---

Entry from Alexandria via LeMat-Bulk: an optimized crystal structure of SrAuC2 (PBE).

Structure (extended XYZ):
```
16
Lattice="6.869 0.000 0.000 0.000 5.288 0.000 -1.409 0.000 8.448" Properties=species:S:1:pos:R:3 pbc="T T T"
Sr 0.117 0.000 2.358
Sr 1.909 2.644 6.090
Sr 3.552 2.644 2.358
Sr 5.344 0.000 6.090
Au 1.386 2.644 0.082
Au 0.640 0.000 8.366
Au 4.820 0.000 0.082
Au 4.075 2.644 8.366
C -0.139 2.644 3.839
C 0.954 2.644 3.180
C 1.072 0.000 5.268
C 2.165 0.000 4.609
C 3.296 0.000 3.839
C 4.389 0.000 3.180
C 4.507 2.644 5.268
C 5.600 2.644 4.609
```

Results
Calculated total energy (eV/atom): -5.793
Density of states at the Fermi level (states/eV per atom): 0.3578
Crystal system: monoclinic

---

Entry from Alexandria via LeMat-Bulk: an optimized crystal structure of Sm2Ga4Ir3Ru (PBE).

Structure (extended XYZ):
```
10
Lattice="4.358 0.000 0.000 0.000 4.358 0.000 0.000 0.000 9.896" Properties=species:S:1:pos:R:3 pbc="T T T"
Sm 0.000 2.179 2.275
Sm 2.179 0.000 7.621
Ga 0.000 0.000 4.948
Ga 0.000 2.179 8.675
Ga 2.179 0.000 1.221
Ga 2.179 2.179 4.948
Ir 0.000 0.000 0.000
Ir 0.000 2.179 6.210
Ir 2.179 0.000 3.686
Ru 2.179 2.179 0.000
```

Results
Calculated total energy (eV/atom): -6.385
Density of states at the Fermi level (states/eV per atom): 0.4987
Crystal system: tetragonal

---

Entry from Alexandria via LeMat-Bulk: an optimized crystal structure of Na3La2NpTe6 (PBE).

Structure (extended XYZ):
```
12
Lattice="3.992 -6.904 0.000 3.992 6.904 0.000 -2.653 0.000 7.506" Properties=species:S:1:pos:R:3 pbc="T T T"
Na 0.000 0.000 0.000
Na 3.992 2.326 0.000
Na 3.992 -2.326 0.000
La 2.666 4.615 3.753
La 2.666 -4.615 3.753
Np 2.666 0.000 3.753
Te 1.359 2.256 1.955
Te 0.060 0.000 5.555
Te 1.359 -2.256 1.955
Te 3.973 2.256 5.551
Te 5.272 0.000 1.952
Te 3.973 -2.256 5.551
```

Results
Calculated total energy (eV/atom): -5.000
Density of states at the Fermi level (states/eV per atom): 0.4372
Crystal system: monoclinic

---

Entry from Alexandria via LeMat-Bulk: an optimized crystal structure of CoNi2Os (PBE).

Structure (extended XYZ):
```
4
Lattice="4.352 0.000 0.000 0.000 4.352 0.000 0.000 0.000 2.570" Properties=species:S:1:pos:R:3 pbc="T T T"
Co 0.000 0.000 0.000
Ni 0.000 2.176 1.285
Ni 2.176 0.000 1.285
Os 2.176 2.176 0.000
```

Results
Calculated total energy (eV/atom): -7.203
Density of states at the Fermi level (states/eV per atom): 1.2559
Crystal system: tetragonal

---

Entry from Alexandria via LeMat-Bulk: an optimized crystal structure of MnSnPb2 (PBE).

Structure (extended XYZ):
```
16
Lattice="4.452 0.000 0.000 0.000 4.452 0.000 0.000 0.000 22.306" Properties=species:S:1:pos:R:3 pbc="T T T"
Mn 0.000 0.000 0.000
Mn 0.000 2.226 5.577
Mn 2.226 0.000 16.730
Mn 2.226 2.226 11.153
Sn 0.000 0.000 11.153
Sn 0.000 2.226 16.730
Sn 2.226 0.000 5.577
Sn 2.226 2.226 0.000
Pb 1.088 1.113 2.788
Pb 1.113 3.313 8.365
Pb 1.113 3.364 19.518
Pb 1.138 1.113 13.941
Pb 3.313 3.339 13.941
Pb 3.339 1.088 19.518
Pb 3.339 1.138 8.365
Pb 3.364 3.339 2.788
```

Results
Calculated total energy (eV/atom): -4.754
Density of states at the Fermi level (states/eV per atom): 0.7178
Crystal system: tetragonal

---

Entry from Alexandria via LeMat-Bulk: an optimized crystal structure of DyTmHg6 (PBE).

Structure (extended XYZ):
```
8
Lattice="4.488 0.000 0.000 0.000 4.488 0.000 0.000 0.000 9.614" Properties=species:S:1:pos:R:3 pbc="T T T"
Dy 0.000 0.000 0.000
Tm 0.000 0.000 4.807
Hg 0.000 2.244 2.419
Hg 0.000 2.244 7.195
Hg 2.244 0.000 2.419
Hg 2.244 0.000 7.195
Hg 2.244 2.244 0.000
Hg 2.244 2.244 4.807
```

Results
Calculated total energy (eV/atom): -1.658
Density of states at the Fermi level (states/eV per atom): 0.5425
Crystal system: tetragonal

---

Entry from Alexandria via LeMat-Bulk: an optimized crystal structure of Li2MnRh2 (PBE).

Structure (extended XYZ):
```
10
Lattice="7.461 0.000 0.000 0.000 4.328 0.000 -2.444 0.000 4.142" Properties=species:S:1:pos:R:3 pbc="T T T"
Li 0.013 0.000 1.153
Li 1.273 2.164 2.989
Li 3.743 2.164 1.153
Li 5.003 0.000 2.989
Mn -1.222 2.164 2.071
Mn 2.508 0.000 2.071
Rh 1.248 2.164 0.478
Rh 0.038 0.000 3.664
Rh 4.978 0.000 0.478
Rh 3.769 2.164 3.664
```

Results
Calculated total energy (eV/atom): -5.550
Density of states at the Fermi level (states/eV per atom): 1.2797
Crystal system: monoclinic

---

Entry from Alexandria via LeMat-Bulk: an optimized crystal structure of KAlOs2 (PBE).

Structure (extended XYZ):
```
8
Lattice="4.002 0.000 0.000 0.000 4.002 0.000 0.000 0.000 8.626" Properties=species:S:1:pos:R:3 pbc="T T T"
K 0.000 0.000 0.000
K 2.001 2.001 4.313
Al 0.000 0.000 4.313
Al 2.001 2.001 0.000
Os 0.000 2.001 2.156
Os 0.000 2.001 6.469
Os 2.001 0.000 2.156
Os 2.001 0.000 6.469
```

Results
Calculated total energy (eV/atom): -5.382
Density of states at the Fermi level (states/eV per atom): 1.4924
Crystal system: tetragonal

---

Entry from Alexandria via LeMat-Bulk: an optimized crystal structure of ReSi2Ni (PBE).

Structure (extended XYZ):
```
8
Lattice="8.657 0.000 0.000 0.000 3.010 0.000 -1.150 0.000 3.916" Properties=species:S:1:pos:R:3 pbc="T T T"
Re 0.000 0.000 0.000
Re 4.328 1.505 0.000
Si 1.914 1.505 0.479
Si 3.681 0.000 1.921
Si 6.242 0.000 0.479
Si 8.009 1.505 1.921
Ni 1.313 0.000 2.377
Ni 5.641 1.505 2.377
```

Results
Calculated total energy (eV/atom): -7.582
Density of states at the Fermi level (states/eV per atom): 0.5472
Crystal system: monoclinic

---

Entry from Alexandria via LeMat-Bulk: an optimized crystal structure of Cs3TlRe2O8 (PBE).

Structure (extended XYZ):
```
14
Lattice="6.640 0.000 0.000 -3.320 5.751 0.000 0.000 0.000 8.702" Properties=species:S:1:pos:R:3 pbc="T T T"
Cs 0.000 0.000 0.000
Cs 0.000 3.834 5.808
Cs 3.320 1.917 2.893
Tl 0.000 0.000 4.351
Re 0.000 3.834 1.802
Re 3.320 1.917 6.900
O 0.000 2.146 2.464
O -1.462 4.678 2.464
O 0.000 3.834 0.018
O 1.858 1.073 6.238
O 1.462 4.678 2.464
O 3.320 1.917 8.683
O 4.782 1.073 6.238
O 3.320 3.605 6.238
```

Results
Calculated total energy (eV/atom): -6.571
Density of states at the Fermi level (states/eV per atom): 0.7098
Crystal system: trigonal

---

Entry from Alexandria via LeMat-Bulk: an optimized crystal structure of TiNbReTc (PBE).

Structure (extended XYZ):
```
16
Lattice="6.314 0.000 0.000 0.000 6.314 0.000 0.000 0.000 6.314" Properties=species:S:1:pos:R:3 pbc="T T T"
Ti 0.000 0.000 0.000
Ti 0.000 3.157 3.157
Ti 3.157 0.000 3.157
Ti 3.157 3.157 0.000
Nb 0.000 0.000 3.157
Nb 0.000 3.157 0.000
Nb 3.157 0.000 0.000
Nb 3.157 3.157 3.157
Re 1.579 1.579 4.736
Re 1.579 4.736 1.579
Re 4.736 1.579 1.579
Re 4.736 4.736 4.736
Tc 1.579 1.579 1.579
Tc 1.579 4.736 4.736
Tc 4.736 1.579 4.736
Tc 4.736 4.736 1.579
```

Results
Calculated total energy (eV/atom): -10.614
Density of states at the Fermi level (states/eV per atom): 0.3838
Crystal system: cubic

---

Entry from Alexandria via LeMat-Bulk: an optimized crystal structure of BaTl4Pt2 (PBE).

Structure (extended XYZ):
```
14
Lattice="4.691 0.000 0.000 0.000 17.841 0.000 0.000 0.000 4.642" Properties=species:S:1:pos:R:3 pbc="T T T"
Ba 0.000 0.000 0.000
Ba 2.345 8.920 0.000
Tl 0.000 3.075 2.321
Tl 0.000 5.786 0.000
Tl 0.000 12.054 0.000
Tl 0.000 14.766 2.321
Tl 2.345 3.134 0.000
Tl 2.345 5.846 2.321
Tl 2.345 11.995 2.321
Tl 2.345 14.707 0.000
Pt 0.000 7.619 2.321
Pt 0.000 10.221 2.321
Pt 2.345 1.301 2.321
Pt 2.345 16.539 2.321
```

Results
Calculated total energy (eV/atom): -3.627
Density of states at the Fermi level (states/eV per atom): 0.4652
Crystal system: orthorhombic

---

Entry from Alexandria via LeMat-Bulk: an optimized crystal structure of NaYSnRh (PBE).

Structure (extended XYZ):
```
16
Lattice="6.891 0.000 0.000 0.000 6.891 0.000 0.000 0.000 6.891" Properties=species:S:1:pos:R:3 pbc="T T T"
Na 0.000 0.000 0.000
Na 0.000 3.445 3.445
Na 3.445 0.000 3.445
Na 3.445 3.445 0.000
Y 1.723 1.723 5.168
Y 1.723 5.168 1.723
Y 5.168 1.723 1.723
Y 5.168 5.168 5.168
Sn 1.723 1.723 1.723
Sn 1.723 5.168 5.168
Sn 5.168 1.723 5.168
Sn 5.168 5.168 1.723
Rh 0.000 0.000 3.445
Rh 0.000 3.445 0.000
Rh 3.445 0.000 0.000
Rh 3.445 3.445 3.445
```

Results
Calculated total energy (eV/atom): -5.240
Density of states at the Fermi level (states/eV per atom): 1.1543
Crystal system: cubic

---

Entry from Alexandria via LeMat-Bulk: an optimized crystal structure of Pm7Mg (PBE).

Structure (extended XYZ):
```
8
Lattice="0.000 5.081 5.081 5.081 0.000 5.081 5.081 5.081 0.000" Properties=species:S:1:pos:R:3 pbc="T T T"
Pm 0.000 0.000 0.000
Pm 2.540 2.540 0.000
Pm 2.540 0.000 2.540
Pm 5.081 2.540 2.540
Pm 0.000 2.540 2.540
Pm 2.540 5.081 2.540
Pm 2.540 2.540 5.081
Mg 5.081 5.081 5.081
```

Results
Calculated total energy (eV/atom): -4.356
Density of states at the Fermi level (states/eV per atom): 0.8659
Crystal system: cubic

---

Entry from Alexandria via LeMat-Bulk: an optimized crystal structure of NbAl3Fe8 (PBE).

Structure (extended XYZ):
```
12
Lattice="4.745 0.000 0.000 -2.372 4.109 0.000 0.000 0.000 7.697" Properties=species:S:1:pos:R:3 pbc="T T T"
Nb 0.000 0.000 0.000
Al 0.000 0.000 2.855
Al 2.372 1.370 3.765
Al 2.372 1.370 6.642
Fe 0.000 1.345 5.217
Fe -1.208 3.437 5.217
Fe 0.000 2.739 3.292
Fe 0.000 2.739 7.153
Fe 2.372 0.024 1.392
Fe 1.207 2.043 1.392
Fe 1.208 3.437 5.217
Fe 3.538 2.043 1.392
```

Results
Calculated total energy (eV/atom): -7.598
Density of states at the Fermi level (states/eV per atom): 0.8767
Crystal system: trigonal

---

Entry from Alexandria via LeMat-Bulk: an optimized crystal structure of HCl (PBE).

Structure (extended XYZ):
```
8
Lattice="0.000 6.046 7.334 2.271 0.000 7.334 2.271 6.046 0.000" Properties=species:S:1:pos:R:3 pbc="T T T"
H 1.703 4.534 1.823
H 2.839 7.557 5.490
H 1.703 4.534 9.178
H 2.839 7.557 12.845
Cl 1.703 0.438 5.500
Cl 2.839 3.461 9.167
Cl 1.703 8.631 5.500
Cl 2.839 11.653 9.167
```

Results
Calculated total energy (eV/atom): -3.058
Density of states at the Fermi level (states/eV per atom): 0.0000
Crystal system: orthorhombic

---

Entry from Alexandria via LeMat-Bulk: an optimized crystal structure of ZrAgSb2 (PBE).

Structure (extended XYZ):
```
16
Lattice="7.202 0.000 0.000 0.000 7.202 0.000 0.000 0.000 7.202" Properties=species:S:1:pos:R:3 pbc="T T T"
Zr 0.000 0.000 0.000
Zr 0.000 3.601 3.601
Zr 3.601 0.000 3.601
Zr 3.601 3.601 0.000
Ag 1.801 1.801 1.801
Ag 1.801 5.402 5.402
Ag 5.402 1.801 5.402
Ag 5.402 5.402 1.801
Sb 0.000 0.000 3.601
Sb 0.000 3.601 0.000
Sb 1.801 1.801 5.402
Sb 1.801 5.402 1.801
Sb 3.601 0.000 0.000
Sb 3.601 3.601 3.601
Sb 5.402 1.801 1.801
Sb 5.402 5.402 5.402
```

Results
Calculated total energy (eV/atom): -4.787
Density of states at the Fermi level (states/eV per atom): 0.8691
Crystal system: cubic

---

Entry from Alexandria via LeMat-Bulk: an optimized crystal structure of PmSm4Cd (PBE).

Structure (extended XYZ):
```
12
Lattice="2.845 -10.521 0.000 2.845 10.521 0.000 0.000 0.000 6.574" Properties=species:S:1:pos:R:3 pbc="T T T"
Pm 2.845 7.699 3.287
Pm 2.845 -7.699 0.000
Sm 2.845 9.236 6.573
Sm 2.845 5.288 0.682
Sm 2.845 3.855 4.226
Sm 2.845 0.810 5.383
Sm 2.845 -0.810 2.096
Sm 2.845 -3.855 0.938
Sm 2.845 -5.288 3.970
Sm 2.845 -9.236 3.285
Cd 2.845 2.229 1.621
Cd 2.845 -2.229 4.908
```

Results
Calculated total energy (eV/atom): -4.043
Density of states at the Fermi level (states/eV per atom): 1.5104
Crystal system: orthorhombic

---

Entry from Alexandria via LeMat-Bulk: an optimized crystal structure of PaCoGeRu (PBE).

Structure (extended XYZ):
```
16
Lattice="6.457 0.000 0.000 0.000 6.457 0.000 0.000 0.000 6.457" Properties=species:S:1:pos:R:3 pbc="T T T"
Pa 0.000 0.000 0.000
Pa 0.000 3.229 3.229
Pa 3.229 0.000 3.229
Pa 3.229 3.229 0.000
Co 1.614 1.614 1.614
Co 1.614 4.843 4.843
Co 4.843 1.614 4.843
Co 4.843 4.843 1.614
Ge 0.000 0.000 3.229
Ge 0.000 3.229 0.000
Ge 3.229 0.000 0.000
Ge 3.229 3.229 3.229
Ru 1.614 1.614 4.843
Ru 1.614 4.843 1.614
Ru 4.843 1.614 1.614
Ru 4.843 4.843 4.843
```

Results
Calculated total energy (eV/atom): -7.878
Density of states at the Fermi level (states/eV per atom): 1.3666
Crystal system: cubic

---

Entry from Alexandria via LeMat-Bulk: an optimized crystal structure of LuTlZnPd (PBE).

Structure (extended XYZ):
```
16
Lattice="6.802 0.000 0.000 0.000 6.802 0.000 0.000 0.000 6.802" Properties=species:S:1:pos:R:3 pbc="T T T"
Lu 0.000 0.000 0.000
Lu 0.000 3.401 3.401
Lu 3.401 0.000 3.401
Lu 3.401 3.401 0.000
Tl 0.000 0.000 3.401
Tl 0.000 3.401 0.000
Tl 3.401 0.000 0.000
Tl 3.401 3.401 3.401
Zn 1.700 1.700 5.101
Zn 1.700 5.101 1.700
Zn 5.101 1.700 1.700
Zn 5.101 5.101 5.101
Pd 1.700 1.700 1.700
Pd 1.700 5.101 5.101
Pd 5.101 1.700 5.101
Pd 5.101 5.101 1.700
```

Results
Calculated total energy (eV/atom): -3.735
Density of states at the Fermi level (states/eV per atom): 0.5682
Crystal system: cubic

---

Entry from Alexandria via LeMat-Bulk: an optimized crystal structure of Ti3VSn2 (PBE).

Structure (extended XYZ):
```
12
Lattice="3.041 0.000 0.000 0.000 5.523 0.000 0.000 0.000 13.965" Properties=species:S:1:pos:R:3 pbc="T T T"
Ti 0.000 0.000 0.000
Ti 0.000 0.000 4.942
Ti 0.000 0.000 9.023
Ti 1.521 2.761 2.040
Ti 1.521 2.761 6.983
Ti 1.521 2.761 11.925
V 0.000 2.761 0.000
V 1.521 0.000 6.983
Sn 0.000 2.761 4.545
Sn 0.000 2.761 9.420
Sn 1.521 0.000 2.438
Sn 1.521 0.000 11.528
```

Results
Calculated total energy (eV/atom): -6.551
Density of states at the Fermi level (states/eV per atom): 1.2871
Crystal system: orthorhombic

---

Entry from Alexandria via LeMat-Bulk: an optimized crystal structure of RbCu3W (PBE).

Structure (extended XYZ):
```
5
Lattice="4.909 0.000 0.000 0.000 4.909 0.000 0.000 0.000 4.909" Properties=species:S:1:pos:R:3 pbc="T T T"
Rb 0.000 0.000 0.000
Cu 0.000 0.000 2.455
Cu 0.000 2.455 0.000
Cu 2.455 0.000 0.000
W 2.455 2.455 2.455
```

Results
Calculated total energy (eV/atom): -2.602
Density of states at the Fermi level (states/eV per atom): 0.4570
Crystal system: cubic

---

Entry from Alexandria via LeMat-Bulk: an optimized crystal structure of KZnPdF6 (PBE).

Structure (extended XYZ):
```
18
Lattice="-3.600 4.036 5.194 3.600 -4.036 5.194 3.600 4.036 -5.194" Properties=species:S:1:pos:R:3 pbc="T T T"
K 0.000 2.018 0.967
K 3.600 2.018 4.227
Zn 1.800 2.018 -2.597
Zn 1.800 -2.018 2.597
Pd 3.600 0.000 0.000
Pd 0.000 0.000 5.194
F 2.131 -0.430 1.276
F 5.069 -0.430 1.276
F 3.600 -2.018 3.401
F 3.600 2.018 0.721
F 2.131 3.606 -1.276
F 1.469 -0.430 3.918
F 2.131 4.466 1.276
F 1.469 0.430 6.470
F 0.000 2.018 4.473
F 0.000 6.054 1.793
F -1.469 4.466 3.918
F 1.469 4.466 3.918
```

Results
Calculated total energy (eV/atom): -4.072
Density of states at the Fermi level (states/eV per atom): 0.0323
Crystal system: orthorhombic